No. 1
GaNi2O3: optimized geometry, PBE with a Hubbard U.

Cell lengths 8.7322, 5.5487, 5.5584 Å; angles 90.00, 103.30, 90.00 degrees
Closest atoms and distances in Å follow each position.
Space group C2/c (No. 15)
Unique sites:
Ga 0.0000 0.0790 0.2500 (multiplicity 4)  3 O 1.88-1.89
Ni 0.1752 0.4984 0.0661 (multiplicity 8)  4 O 2.06-2.13
O 0.0000 0.4181 0.2500 (multiplicity 4)  1 Ga 1.88, 4 Ni 2.07-2.10
O 0.1489 0.0839 0.6096 (multiplicity 8)  2 Ga 1.89-2.12, 1 Ni 2.06

Properties
raw total energy: -4.868 eV per atom

***

No. 2
GaNiO2: optimized geometry, PBE with a Hubbard U.

Cell lengths 4.8591, 4.8591, 8.2118 Å; angles 90.00, 90.00, 90.00 degrees
Closest atoms and distances in Å follow each position.
Space group I-42d (No. 122)
Unique sites:
Ga 0.0000 0.0000 0.0000 (multiplicity 4)  4 O 1.87
Ni 0.0000 0.0000 0.5000 (multiplicity 4)  4 O 2.15
O 0.2032 0.2500 0.1250 (multiplicity 8)  2 Ga 1.87

Properties
raw total energy: -5.019 eV per atom

***

No. 3
GaNiO3: optimized geometry, PBE with a Hubbard U.

Cell lengths 3.7644, 3.7644, 3.7644 Å; angles 90.00, 90.00, 90.00 degrees
Closest atoms and distances in Å follow each position.
Space group Pm-3m (No. 221)
Unique sites:
Ga 0.0000 0.0000 0.0000 (multiplicity 1)  6 O 1.88
Ni 0.5000 0.5000 0.5000 (multiplicity 1)  12 O 2.66
O 0.0000 0.0000 0.5000 (multiplicity 3)  2 Ga 1.88

Properties
raw total energy: -4.380 eV per atom

***

No. 4
Ga2NiO: optimized geometry, PBE with a Hubbard U.

Cell lengths 5.6098, 5.6098, 7.0413 Å; angles 90.00, 90.00, 90.00 degrees
Closest atoms and distances in Å follow each position.
Space group I-42d (No. 122)
Unique sites:
Ga 0.2094 0.7500 0.1250 (multiplicity 8)  2 O 2.03
Ni 0.0000 0.0000 0.5000 (multiplicity 4)  4 Ga 2.32
O 0.0000 0.0000 0.0000 (multiplicity 4)  4 Ga 2.03

Properties
raw total energy: -3.695 eV per atom

***

No. 5
GaNiOsO6: optimized geometry, PBE with a Hubbard U.

Cell lengths 5.0592, 5.0592, 8.8013 Å; angles 90.00, 90.00, 120.00 degrees
Closest atoms and distances in Å follow each position.
Space group P-31c (No. 163)
Unique sites:
Ga 0.3333 0.6667 0.2500 (multiplicity 2)  6 O 1.99
Ni 0.0000 0.0000 0.0000 (multiplicity 2)  6 O 2.11
Os 0.3333 0.6667 0.7500 (multiplicity 2)  6 O 1.91
O 0.0131 0.3568 0.6310 (multiplicity 12)  1 Os 1.91, 1 Ga 1.99, 1 Ni 2.11

Properties
raw total energy: -6.283 eV per atom

***

No. 6
GaNi2OsO6: optimized geometry, PBE with a Hubbard U.

Cell lengths 5.2547, 5.2547, 4.7829 Å; angles 90.00, 90.00, 90.00 degrees
Closest atoms and distances in Å follow each position.
Space group P4mm (No. 99)
Unique sites:
Ga 0.0000 0.0000 0.0000 (multiplicity 1)  1 O 1.78
Ni 0.0000 0.5000 0.3537 (multiplicity 2)  4 O 2.04
Os 0.5000 0.5000 0.0284 (multiplicity 1)  1 O 1.74
O 0.0000 0.0000 0.6285 (multiplicity 1)  1 Ga 1.78
O 0.2518 0.2518 0.1771 (multiplicity 4)  1 Os 1.98, 2 Ni 2.04, 1 Ga 2.05
O 0.5000 0.5000 0.6644 (multiplicity 1)  1 Os 1.74

Properties
raw total energy: -5.657 eV per atom

***

No. 7
GaNiP2O: optimized geometry, PBE with a Hubbard U.

Cell lengths 4.8573, 4.8573, 3.5001 Å; angles 90.00, 90.00, 90.00 degrees
Closest atoms and distances in Å follow each position.
Space group P4/mmm (No. 123)
Unique sites:
Ga 0.0000 0.0000 0.0000 (multiplicity 1)  2 O 1.75
Ni 0.5000 0.5000 0.5000 (multiplicity 1)  8 P 2.99
P 0.0000 0.5000 0.0000 (multiplicity 2)  2 Ga 2.43
O 0.0000 0.0000 0.5000 (multiplicity 1)  2 Ga 1.75

Properties
distance to the lowest polymorph of the same formula: 2.27 eV/f.u.

***

No. 8
GaNiP2O: optimized geometry, PBE with a Hubbard U.

Cell lengths 4.6381, 4.6381, 3.4615 Å; angles 90.00, 90.00, 90.00 degrees
Closest atoms and distances in Å follow each position.
Space group P4/mmm (No. 123)
Unique sites:
Ga 0.0000 0.0000 0.0000 (multiplicity 1)  8 P 2.89
Ni 0.5000 0.5000 0.5000 (multiplicity 1)  2 O 1.73
P 0.0000 0.5000 0.5000 (multiplicity 2)  2 Ni 2.32
O 0.5000 0.5000 0.0000 (multiplicity 1)  2 Ni 1.73

Properties
distance to the lowest polymorph of the same formula: 0.00 eV/f.u.

***

no.,density of states at the Fermi level (states/eV/atom)
1,0.186
2,0.164
3,0.711
4,0.026
5,0.398
6,0.218
7,1.153
8,0.589